Computed, not measured: a relaxed structure of Nd4Sm5Y at the PBE level of DFT.

a = 18.905 Å, b = 3.648 Å, c = 10.323 Å
α = 90.00°, β = 106.00°, γ = 90.00°
Space group C2/m (No. 12)
One atom of each set of equivalent atoms:
1 Nd 0.099 0.000 0.300 (multiplicity 4)
2 Nd 0.200 0.500 0.100 (multiplicity 4)
3 Sm 0.000 0.500 0.500 (multiplicity 2)
4 Sm 0.099 0.000 0.799 (multiplicity 4)
5 Sm 0.200 0.500 0.600 (multiplicity 4)
6 Y 0.000 0.500 0.000 (multiplicity 2)

The calculation puts the calculated density at 6.88 g cm⁻³. The formation energy from the elements comes out at 0.1 eV per formula unit. The calculation puts the energy above the most stable polymorph in this dataset at 0 meV/atom. For the total DFT energy (no corrections), the calculation gives -4.901 eV per atom.

Computed, not measured: a relaxed structure of NdSm6Y2 at the PBE level of DFT.

a = 11.794 Å, b = 3.481 Å, c = 15.481 Å
α = 90.00°, β = 102.05°, γ = 90.00°
Space group C2/m (No. 12)
One atom of each set of equivalent atoms:
1 Nd 0.000 0.000 0.000 (multiplicity 2)
2 Sm 0.041 0.000 0.231 (multiplicity 4)
3 Sm 0.127 0.500 0.437 (multiplicity 4)
4 Sm 0.206 0.500 0.895 (multiplicity 4)
5 Y 0.166 0.500 0.666 (multiplicity 4)

The calculation puts the calculated density at 6.54 g cm⁻³. The formation energy from the elements comes out at 1.7 eV per formula unit. The calculation puts the energy above the most stable polymorph in this dataset at 0 meV/atom. For the total DFT energy (no corrections), the calculation gives -4.928 eV per atom.

Computed, not measured: a relaxed structure of Nd8Sm4Y at the PBE level of DFT.

a = 11.8637 Å, b = 11.8637 Å, c = 11.7973 Å
α = 90.00°, β = 90.00°, γ = 120.00°
Space group R-3m (No. 166, hexagonal axes)
One atom of each set of equivalent atoms:
1 Nd 0.0000 0.0000 0.2411 (multiplicity 6)
2 Nd 0.0009 0.5005 0.6684 (multiplicity 18)
3 Sm 0.0000 0.0000 0.0000 (multiplicity 3)
4 Sm 0.0000 0.5000 0.0000 (multiplicity 9)
5 Y 0.0000 0.0000 0.5000 (multiplicity 3)

The calculation puts the calculated density at 6.39 g cm⁻³. The formation energy from the elements comes out at 5.3 eV per formula unit. For the total DFT energy (no corrections), the calculation gives -4.479 eV per atom.

Computed, not measured: a relaxed structure of Nd3SmY3 at the PBE level of DFT.

a = 8.7825 Å, b = 8.7825 Å, c = 22.2178 Å
α = 90.00°, β = 90.00°, γ = 120.00°
Space group R-3 (No. 148, hexagonal axes)
One atom of each set of equivalent atoms:
1 Nd 0.0478 0.5994 0.3813 (multiplicity 18)
2 Sm 0.0000 0.0000 0.1560 (multiplicity 6)
3 Y 0.0042 0.7719 0.5585 (multiplicity 18)

The calculation puts the calculated density at 5.70 g cm⁻³. The formation energy from the elements comes out at 1.5 eV per formula unit. The calculation puts the energy above the most stable polymorph in this dataset at 0 meV/atom. For the total DFT energy (no corrections), the calculation gives -5.277 eV per atom.